(1)
LaPm3Nd2Se6, relaxed, DFT PBE-GGA; magnetic moment = 0.000 μB/cell; formation energy without anion corrections = -1.87 eV/atom; calculated volume = 320.4 Å³/cell
1.0
3.650 -6.353 0.000
3.650 6.353 0.000
-2.446 0.000 6.908
La Pm Nd Se
1 3 2 6
Cartesian
0.000 0.000 0.000
2.427 4.235 3.454
2.427 0.000 3.454
2.427 -4.235 3.454
3.650 2.129 0.000
3.650 -2.129 0.000
1.223 2.129 1.761
0.007 0.000 5.156
1.223 -2.129 1.761
3.632 2.129 5.147
4.847 0.000 1.752
3.632 -2.129 5.147

(2)
LaPm4NdSe8, relaxed, DFT PBE-GGA; magnetic moment = 0.000 μB/cell; formation energy without anion corrections = -1.75 eV/atom; calculated volume = 464.6 Å³/cell
1.0
4.344 2.508 7.109
-4.344 2.508 7.109
0.000 -5.016 7.109
La Pm Nd Se
1 4 1 8
Cartesian
0.000 0.000 0.000
0.000 -2.491 11.539
-2.158 1.246 11.539
0.000 0.000 15.982
2.158 1.246 11.539
0.000 0.000 8.008
0.000 -2.318 6.129
-2.007 1.159 6.129
0.000 0.000 2.876
-2.058 -1.188 9.832
2.007 1.159 6.129
0.000 0.000 13.166
2.058 -1.188 9.832
0.000 2.376 9.832

(3)
LaPmNd4Se8, relaxed, DFT PBE-GGA; magnetic moment = 0.000 μB/cell; formation energy without anion corrections = -1.75 eV/atom; calculated volume = 469.8 Å³/cell
1.0
4.366 2.521 7.116
-4.366 2.521 7.116
0.000 -5.041 7.116
La Pm Nd Se
1 1 4 8
Cartesian
0.000 0.000 0.000
0.000 0.000 8.019
0.000 -2.506 11.562
-2.170 1.253 11.562
0.000 0.000 16.023
2.170 1.253 11.562
0.000 0.000 2.870
0.000 -2.323 6.174
-2.012 1.162 6.174
-2.046 -1.181 9.823
2.012 1.162 6.174
2.046 -1.181 9.823
0.000 2.362 9.823
0.000 0.000 13.198

(4)
La2Pm3NdSe6, relaxed, DFT PBE-GGA; magnetic moment = 0.000 μB/cell; formation energy without anion corrections = -1.90 eV/atom; calculated volume = 323.5 Å³/cell
1.0
3.664 -6.372 0.000
3.664 6.372 0.000
-2.454 0.000 6.928
La Pm Nd Se
2 3 1 6
Cartesian
3.664 4.256 0.000
3.664 -4.256 0.000
-1.227 0.000 3.464
2.437 2.125 3.464
2.437 -2.125 3.464
3.664 0.000 0.000
0.000 2.112 5.157
1.236 0.000 1.780
0.000 -2.112 5.157
4.874 2.112 1.771
3.637 0.000 5.148
4.874 -2.112 1.771

(5)
La3PmNd3Se8, relaxed, DFT PBE-GGA; magnetic moment = 0.000 μB/cell; formation energy without anion corrections = -1.94 eV/atom; calculated volume = 436.2 Å³/cell
1.0
4.242 2.449 7.000
-4.242 2.449 7.000
0.000 -4.898 7.000
La Pm Nd Se
3 1 3 8
Cartesian
-2.121 -1.224 7.000
-2.121 1.224 14.000
0.000 2.449 7.000
0.000 0.000 10.500
-4.242 0.000 10.500
-2.121 1.224 3.500
2.121 1.224 3.500
-2.126 -1.227 12.221
0.000 0.000 5.220
0.000 -2.454 8.779
-2.126 1.227 8.779
2.126 -1.227 12.221
0.000 2.454 12.221
0.000 0.000 15.780
2.126 1.227 8.779

(6)
La4Pm2NdSm, relaxed, DFT PBE-GGA; formation energy from the elements = 0.014 eV/atom; magnetic moment = 0.000 μB/cell; calculated volume = 285.5 Å³/cell
1.0
5.248 0.000 0.000
0.000 5.275 0.000
-0.017 0.000 10.312
La Pm Nd Sm
4 2 1 1
Cartesian
-0.002 0.000 2.571
5.233 0.000 7.742
2.622 2.637 2.569
2.609 2.637 7.744
0.000 2.637 0.000
2.615 0.000 5.156
-0.009 2.637 5.156
2.624 0.000 0.000

(7)
LaPm6Nd3Sm2, relaxed, DFT PBE-GGA; formation energy from the elements = 0.015 eV/atom; magnetic moment = 0.000 μB/cell; calculated volume = 418.4 Å³/cell
1.0
3.176 -5.502 0.000
3.176 5.502 0.000
-2.131 0.000 11.972
La Pm Nd Sm
1 6 3 2
Cartesian
0.000 0.000 0.000
1.058 1.838 2.991
-0.007 0.000 8.977
1.058 -1.838 2.991
3.163 1.838 8.982
4.228 0.000 2.995
3.163 -1.838 8.982
2.111 3.664 5.986
2.111 0.000 5.986
2.111 -3.664 5.986
3.176 1.832 0.000
3.176 -1.832 0.000

(8)
LaPm2NdSm5, relaxed, DFT PBE-GGA; formation energy from the elements = 0.246 eV/atom; magnetic moment = 0.000 μB/cell; calculated volume = 625.7 Å³/cell
1.0
-4.440 4.440 7.936
4.440 -4.440 7.936
4.440 4.440 -7.936
La Pm Nd Sm
2 4 2 10
Cartesian
0.000 0.000 3.968
0.000 0.000 11.904
5.489 1.049 0.000
1.049 3.391 0.000
3.391 1.049 7.936
-1.049 3.391 7.936
4.440 0.000 3.968
0.000 4.440 3.968
0.000 0.000 0.000
2.618 1.822 -2.156
2.618 -1.822 5.779
2.618 1.822 2.156
2.618 -1.822 10.092
0.000 0.000 7.936
1.822 6.261 -2.156
1.822 2.618 5.779
1.822 6.261 2.156
1.822 2.618 10.092

(9)
La2Pm4Nd2Sm, relaxed, DFT PBE-GGA; formation energy from the elements = 0.007 eV/atom; magnetic moment = 0.000 μB/cell; calculated volume = 317.2 Å³/cell
1.0
9.625 -1.856 0.000
9.625 1.856 0.000
-4.274 0.000 8.877
La Pm Nd Sm
2 4 2 1
Cartesian
-1.079 0.000 8.873
16.056 0.000 0.004
-1.053 0.000 2.949
3.213 0.000 5.912
11.764 0.000 2.966
16.030 0.000 5.929
5.358 0.000 2.968
9.619 0.000 5.909
9.625 0.000 0.000

(10)
La5Pm2NdSm, relaxed, DFT PBE-GGA; formation energy from the elements = 0.247 eV/atom; magnetic moment = 0.000 μB/cell; calculated volume = 648.2 Å³/cell
1.0
-4.517 4.517 7.944
4.517 -4.517 7.944
4.517 4.517 -7.944
La Pm Nd Sm
10 4 2 2
Cartesian
0.000 0.000 0.000
6.341 1.824 -2.191
1.824 2.692 -2.191
6.341 1.824 2.191
1.824 2.692 2.191
0.000 0.000 7.944
2.692 1.824 5.753
-1.824 2.692 5.753
2.692 1.824 10.135
-1.824 2.692 10.135
3.458 1.059 0.000
3.458 -1.059 7.944
1.059 5.575 0.000
1.059 3.458 7.944
0.000 0.000 3.972
0.000 0.000 11.916
4.517 0.000 3.972
0.000 4.517 3.972

(11)
La2PmNd6Sm, relaxed, DFT PBE-GGA; formation energy from the elements = 0.109 eV/atom; magnetic moment = 0.000 μB/cell; calculated volume = 712.2 Å³/cell
1.0
4.619 -7.661 0.000
4.619 7.661 0.000
-1.869 0.000 10.062
La Pm Nd Sm
4 2 12 2
Cartesian
2.116 0.736 0.406
1.181 -0.736 5.437
6.188 0.736 4.624
5.254 -0.736 9.655
4.152 7.490 2.515
3.217 -7.490 7.546
2.418 4.290 1.898
2.920 4.746 5.591
3.514 4.746 9.501
2.996 1.561 3.813
5.886 4.290 3.133
5.308 1.561 1.218
2.061 -1.561 8.844
1.483 -4.290 6.928
4.374 -1.561 6.249
3.855 -4.746 0.560
4.449 -4.746 4.470
4.951 -4.290 8.164
3.217 1.466 7.546
4.152 -1.466 2.515

(12)
La2PmNdSm4, relaxed, DFT PBE-GGA; formation energy from the elements = 0.017 eV/atom; magnetic moment = 0.000 μB/cell; calculated volume = 279.2 Å³/cell
1.0
6.344 0.000 0.000
0.000 3.679 0.000
-2.169 0.000 11.960
La Pm Nd Sm
2 1 1 4
Cartesian
0.000 0.000 0.000
-1.084 1.840 5.980
2.088 0.000 5.980
3.172 1.840 0.000
1.044 1.840 3.001
-0.037 0.000 8.972
4.212 0.000 2.987
3.132 1.840 8.959

(13)
La2Pm3Nd6Sm, relaxed, DFT PBE-GGA; formation energy from the elements = 0.015 eV/atom; magnetic moment = 0.000 μB/cell; calculated volume = 424.3 Å³/cell
1.0
3.191 -5.529 0.000
3.191 5.529 0.000
-2.150 0.000 12.023
La Pm Nd Sm
2 3 6 1
Cartesian
3.191 3.685 0.000
3.191 -3.685 0.000
-1.075 0.000 6.012
2.116 1.840 6.012
2.116 -1.840 6.012
-0.016 1.839 8.995
1.063 0.000 3.028
-0.016 -1.839 8.995
4.249 1.839 3.028
3.170 0.000 8.995
4.249 -1.839 3.028
3.191 0.000 0.000

(14)
La4Pm2Nd2Sm, relaxed, DFT PBE-GGA; formation energy from the elements = 0.016 eV/atom; magnetic moment = 0.000 μB/cell; calculated volume = 321.1 Å³/cell
1.0
7.836 -2.620 0.000
7.836 2.620 0.000
-2.619 0.000 7.820
La Pm Nd Sm
4 2 2 1
Cartesian
-0.012 0.000 2.597
2.596 0.000 5.216
10.458 0.000 2.604
13.066 0.000 5.223
5.222 0.000 2.591
7.832 0.000 5.229
2.609 0.000 0.005
10.445 0.000 7.815
7.836 0.000 0.000

(15)
LaPmNd2Sm4, relaxed, DFT PBE-GGA; formation energy from the elements = 0.016 eV/atom; magnetic moment = 0.000 μB/cell; calculated volume = 277.8 Å³/cell
1.0
6.332 0.000 0.000
0.000 3.671 0.000
-2.179 0.000 11.949
La Pm Nd Sm
1 1 2 4
Cartesian
0.000 0.000 0.000
3.166 1.836 0.000
-1.089 1.836 5.974
2.077 0.000 5.974
-0.056 0.000 8.958
1.045 1.836 2.999
3.108 1.836 8.950
4.209 0.000 2.991

(16)
La6PmNd2Sm, relaxed, DFT PBE-GGA; formation energy from the elements = 0.103 eV/atom; magnetic moment = 0.000 μB/cell; calculated volume = 717.6 Å³/cell
1.0
4.965 -7.750 0.000
4.965 7.750 0.000
-0.030 0.000 9.325
La Pm Nd Sm
12 2 4 2
Cartesian
2.470 3.389 6.348
4.200 5.469 8.450
5.685 5.469 5.537
4.227 2.294 0.863
5.688 2.294 3.800
2.485 -3.389 1.685
7.415 3.389 7.640
4.212 -2.294 5.525
5.673 -2.294 8.462
4.215 -5.469 3.787
5.700 -5.469 0.875
7.430 -3.389 2.977
4.957 6.644 2.331
4.942 -6.644 6.994
2.472 0.701 4.058
2.457 -0.701 8.721
7.443 0.701 0.604
7.428 -0.701 5.267
4.942 1.079 6.994
4.957 -1.079 2.331

(17)
LaPm2NdSm2, relaxed, DFT PBE-GGA; formation energy from the elements = 0.244 eV/atom; magnetic moment = 0.000 μB/cell; calculated volume = 423.5 Å³/cell
1.0
6.771 0.000 0.000
0.000 18.133 0.000
0.000 0.000 3.450
La Pm Nd Sm
2 4 2 4
Cartesian
0.000 0.000 0.000
3.385 9.066 1.725
1.515 6.313 1.725
1.870 15.379 0.000
4.901 2.753 0.000
5.256 11.820 1.725
0.000 9.066 0.000
3.385 0.000 1.725
1.549 3.289 0.000
1.836 12.356 1.725
4.935 5.777 1.725
5.221 14.843 0.000

(18)
LaPm5Nd2Sm, relaxed, DFT PBE-GGA; formation energy from the elements = 0.248 eV/atom; magnetic moment = 0.000 μB/cell; calculated volume = 633.1 Å³/cell
1.0
-4.457 4.457 7.967
4.457 -4.457 7.967
4.457 4.457 -7.967
La Pm Nd Sm
2 10 4 2
Cartesian
0.000 0.000 3.984
0.000 0.000 11.951
0.000 0.000 0.000
6.301 1.843 -2.186
1.843 2.614 -2.186
6.301 1.843 2.186
1.843 2.614 2.186
0.000 0.000 7.967
2.614 1.843 5.781
-1.843 2.614 5.781
2.614 1.843 10.154
-1.843 2.614 10.154
3.404 1.053 0.000
3.404 -1.053 7.967
1.053 5.510 0.000
1.053 3.404 7.967
4.457 0.000 3.984
0.000 4.457 3.984

(19)
LaPm2Nd2Sm, relaxed, DFT PBE-GGA; formation energy from the elements = 0.238 eV/atom; magnetic moment = 0.000 μB/cell; calculated volume = 427.2 Å³/cell
1.0
6.778 0.000 0.000
0.000 18.207 0.000
0.000 0.000 3.462
La Pm Nd Sm
2 4 4 2
Cartesian
0.000 0.000 0.000
3.389 9.104 1.731
1.500 6.374 1.731
1.889 15.478 0.000
4.889 2.730 0.000
5.278 11.833 1.731
1.538 3.327 0.000
1.851 12.430 1.731
4.927 5.777 1.731
5.240 14.881 0.000
0.000 9.104 0.000
3.389 0.000 1.731